[1]
8
Lattice="-0.440 2.830 0.546 -5.455 -2.485 0.701 1.117 -0.892 5.524" Properties=species:S:1:pos:R:3 comment="ZnBRh2, optimized geometry, DFT PBE" dos_at_fermi_per_ev_cell=2.5 e_form_mev_per_atom=-432 magmom_total_mub_per_atom=0.0000 energy_ev_per_atom=-6.10 relative_energy_ev_per_atom=0.0000 space_group="Cmcm, No. 63" pbc="T T T"
Zn -5.595 0.126 2.625
Zn 0.817 -0.673 4.147
B -2.145 -0.680 1.797
B -2.633 0.133 4.974
Rh -3.453 -1.202 3.449
Rh -1.324 0.655 3.323
Rh -0.767 0.209 6.081
Rh -4.011 -0.757 0.691

***

[2]
12
Lattice="3.504 0.000 0.000 0.000 16.268 0.000 0.000 0.000 6.942" Properties=species:S:1:pos:R:3 comment="CeSm2Y3, optimized geometry, DFT PBE" dos_at_fermi_per_ev_cell=22.4 e_form_mev_per_atom=169 magmom_total_mub_per_atom=0.0816 energy_ev_per_atom=-5.62 relative_energy_ev_per_atom=0.1173 space_group="Pnnm, No. 58" pbc="T T T"
Ce 0.000 0.000 3.471
Ce 1.752 8.134 0.000
Sm 1.752 13.778 1.737
Sm 0.000 5.644 1.734
Sm 0.000 10.624 5.208
Sm 1.752 2.490 5.205
Y 0.000 0.000 0.000
Y 1.752 8.134 3.471
Y 1.752 13.717 5.182
Y 1.752 2.551 1.760
Y 0.000 5.583 5.232
Y 0.000 10.685 1.711

***

[3]
12
Lattice="-3.441 -0.603 3.734 4.250 -4.066 3.260 3.525 7.223 4.414" Properties=species:S:1:pos:R:3 comment="CaY3Ga2, optimized geometry, DFT PBE" dos_at_fermi_per_ev_cell=8.3 e_form_mev_per_atom=-427 magmom_total_mub_per_atom=0.0001 energy_ev_per_atom=-5.00 space_group="Pmc2_1, No. 26" pbc="T T T"
Ca 2.390 1.535 5.951
Ca -0.049 2.925 3.928
Y 5.456 4.959 5.829
Y 4.333 -3.731 3.391
Y 1.830 -1.845 4.890
Y 1.996 4.884 6.129
Y 2.476 1.121 2.463
Y 5.804 1.552 5.599
Ga 4.383 2.863 8.002
Ga -0.208 -0.157 3.284
Ga 3.459 3.688 3.783
Ga 4.453 -0.663 3.997